1.
Below is a relaxed K3In2Sn9 crystal, with properties calculated at the PBE level.

Unit cell a=5.242 b=11.751 c=14.315 alpha=90.00 beta=90.00 gamma=90.00
Space group Immm (No. 71)
Symmetry-distinct sites (fractional):
K 0.000 0.000 0.000 [2 per cell]
K 0.000 0.000 0.292 [4 per cell]
In 0.000 0.171 0.500 [4 per cell]
Sn 0.000 0.280 0.148 [8 per cell]
Sn 0.000 0.362 0.353 [8 per cell]
Sn 0.000 0.500 0.000 [2 per cell]

Results
The calculation puts the density of states at the Fermi level at 0.429 states/eV per atom. The value obtained for the energy is -93.05 eV/cell. The energy relative to the elements is -0.1236 eV/atom.

---

2.
Below is a relaxed ScPt2Rh crystal, with properties calculated at the PBE level.

Unit cell a=3.845 b=3.845 c=18.767 alpha=90.00 beta=90.00 gamma=90.00
Space group I-42d (No. 122)
Symmetry-distinct sites (fractional):
Sc 0.000 0.000 0.000 [4 per cell]
Pt 0.242 0.250 0.625 [8 per cell]
Rh 0.000 0.000 0.500 [4 per cell]

Results
The calculation puts the density of states at the Fermi level at 0.583 states/eV per atom. The value obtained for the energy is -110.98 eV/cell. The energy relative to the elements is -0.4950 eV/atom.